The following is a DFT calculation (PBE with a Hubbard U) of Mg3MoO6 after structural relaxation.

POSCAR file:
```
Mg3MoO6
1.0
4.3590 2.5166 3.4260
-4.3590 2.5166 3.4260
0.0000 -5.0333 3.4260
Mg Mo O
6 2 12
Cartesian
-3.0011 -0.8027 4.7236
-0.8054 -3.0004 5.5542
-2.1957 2.1977 5.5542
2.1957 -2.1977 4.7236
0.8054 3.0004 4.7236
3.0011 0.8027 5.5542
0.0000 0.0000 0.0000
0.0000 0.0000 5.1389
-2.8236 -2.6774 5.6749
-3.7305 1.1066 4.6030
-0.9761 -1.3108 4.0835
0.9069 -3.7840 4.6030
-0.6471 1.5007 4.0835
-1.6232 0.1899 6.1944
1.6232 -0.1899 4.0835
0.6471 -1.5007 6.1944
-0.9069 3.7840 5.6749
0.9761 1.3108 6.1944
3.7305 -1.1066 5.6749
2.8236 2.6774 4.6030
```

Output
- space-group type = No. 148
- theoretical density (g/cm3) = 3.901
- Fermi-level density of states (states/eV per cell) = 0.00
- calculated total energy (eV/atom) = -6.43